MnCuTe2N (PBE, relaxed); ΔE to the lowest computed polymorph = 0.0 meV per atom; calculated volume = 18.9 Å³ per atom
1.0
5.253 0.000 0.000
0.000 5.253 0.000
0.000 0.000 3.430
Mn Cu Te N
1 1 2 1
Cartesian
0.000 0.000 0.000
2.627 2.627 1.715
0.000 2.627 0.000
2.627 0.000 0.000
0.000 0.000 1.715

=====

MnCuTeN2 (PBE, relaxed); ΔE to the lowest computed polymorph = 1260.0 meV per atom; calculated volume = 15.0 Å³ per atom
1.0
3.733 0.000 0.000
0.000 3.733 0.000
0.000 0.000 5.375
Mn Cu Te N
1 1 1 2
Cartesian
0.000 0.000 0.000
1.866 1.866 2.687
1.866 1.866 0.000
0.000 1.866 2.687
1.866 0.000 2.687

=====

MnCuTeN2 (PBE, relaxed); ΔE to the lowest computed polymorph = 0.0 meV per atom; calculated volume = 14.7 Å³ per atom
1.0
3.625 0.000 0.000
0.000 3.625 0.000
0.000 0.000 5.589
Mn Cu Te N
1 1 1 2
Cartesian
0.000 0.000 0.000
1.812 1.812 2.795
0.000 0.000 2.795
0.000 1.812 0.000
1.812 0.000 0.000

=====

MnZnCuN2 (PBE, relaxed); calculated volume = 13.9 Å³ per atom; calculated total energy = -4.48 eV/atom
1.0
3.815 0.000 0.000
0.000 3.815 0.000
0.000 0.000 4.791
Mn Zn Cu N
1 1 1 2
Cartesian
0.000 0.000 0.000
0.000 0.000 2.396
1.908 1.908 0.000
0.000 1.908 2.396
1.908 0.000 2.396